Record 1
Here is a relaxed CoRuSe2 crystal from the Alexandria database. Energies are from PBE.

abc: 8.3558 8.3558 8.3558
angles: 22.48 22.48 22.48
Closest atoms and distances in Å follow each position.
Positions (direct):
Co: 0.0000 0.0000 0.0000  3 Se 2.23
Ru: 0.7565 0.7565 0.7565  3 Se 2.39
Se: 0.2846 0.2846 0.2846  3 Co 2.23
Se: 0.4835 0.4835 0.4835  3 Ru 2.39

Output
Polymorph energy (0 for the lowest one) ... 30.9 kJ per mole of atoms
Total magnetization ... 0.00 Bohr magnetons per cell
Formation energy without anion corrections ... 5 kJ per mole of atoms
E ... -0.42488 Ry per atom

---

Record 2
Here is a relaxed KCdPd2F8 crystal from the Alexandria database. Energies are from PBE.

abc: 6.4386 6.4386 6.4386
angles: 124.90 124.90 81.70
Closest atoms and distances in Å follow each position.
Positions (direct):
K: 0.0000 0.0000 0.0000  8 F 2.71-2.80
Cd: 0.2500 0.7500 0.5000  8 F 2.33-2.57
Pd: 0.5000 0.5000 0.0000  4 F 1.97
Pd: 0.7500 0.2500 0.5000  4 F 2.02
F: 0.0317 0.4053 0.9616  1 Pd 2.02
F: 0.1975 0.4319 0.5975  1 Pd 1.97
F: 0.4000 0.8025 0.2344  1 Pd 1.97
F: 0.4437 0.0702 0.0384  1 Pd 2.02
F: 0.5681 0.1656 0.7656  1 Pd 1.97
F: 0.5947 0.5563 0.6265  1 Pd 2.02
F: 0.8344 0.6000 0.4025  1 Pd 1.97
F: 0.9298 0.9683 0.3735  1 Pd 2.02

Output
Total magnetization ... 1.09 Bohr magnetons per cell
Formation energy without anion corrections ... -159 kJ per mole of atoms
E ... -0.28905 Ry per atom

---

Record 3
Here is a relaxed HfZr2NbH crystal from the Alexandria database. Energies are from PBE.

abc: 4.3436 4.3436 4.6858
angles: 90.00 90.00 90.00
Closest atoms and distances in Å follow each position.
Positions (direct):
Hf: 0.0000 0.0000 0.0000  4 Nb 3.07, 8 Zr 3.19
Zr: 0.0000 0.5000 0.5000  2 H 2.17
Zr: 0.5000 0.0000 0.5000  2 H 2.17
Nb: 0.5000 0.5000 0.0000  2 H 2.34
H: 0.5000 0.5000 0.5000  4 Zr 2.17, 2 Nb 2.34

Output
Polymorph energy (0 for the lowest one) ... 0.0 kJ per mole of atoms
Total magnetization ... 0.00 Bohr magnetons per cell
E ... -0.59617 Ry per atom